[1]
Tb8Sm4Mg: optimized geometry, PBE.

Cell lengths 7.760, 7.760, 7.760 Å; angles 90.15, 90.15, 90.15 degrees
Atoms (fractional coordinates):
Tb (0.243, 0.243, 0.243)
Tb (0.243, 0.243, 0.755)
Tb (0.243, 0.755, 0.243)
Tb (0.245, 0.757, 0.757)
Tb (0.755, 0.243, 0.243)
Tb (0.757, 0.245, 0.757)
Tb (0.757, 0.757, 0.245)
Tb (0.757, 0.757, 0.757)
Sm (0.000, 0.000, 0.000)
Sm (0.000, 0.500, 0.500)
Sm (0.500, 0.000, 0.500)
Sm (0.500, 0.500, 0.000)
Mg (0.500, 0.500, 0.500)

Total moment in μB per cell: 0.0
E_tot in eV/atom: -3.89
ΔE_f in kJ/mol of formula units: 667
V in Å³ per atom: 35.9

=====

[2]
PrThP2: optimized geometry, PBE.

Cell lengths 4.150, 4.150, 13.767 Å; angles 90.00, 90.00, 120.00 degrees
Atoms (fractional coordinates):
Pr (0.333, 0.667, 0.250)
Pr (0.667, 0.333, 0.750)
Th (0.000, 0.000, 0.000)
Th (0.000, 0.000, 0.500)
P (0.333, 0.667, 0.620)
P (0.333, 0.667, 0.880)
P (0.667, 0.333, 0.120)
P (0.667, 0.333, 0.380)

Total moment in μB per cell: 0.0
Energy above the most stable polymorph in this dataset in eV per atom: 0.0321
E_tot in eV/atom: -7.28
ΔE_f in kJ/mol of formula units: -588
V in Å³ per atom: 25.7

=====

[3]
KLaTbSbO6: optimized geometry, PBE.

Cell lengths 5.933, 5.933, 5.933 Å; angles 60.00, 60.00, 60.00 degrees
Atoms (fractional coordinates):
K (0.000, 0.000, 0.000)
La (0.500, 0.500, 0.500)
Tb (0.250, 0.250, 0.250)
Sb (0.750, 0.750, 0.750)
O (0.513, 0.513, 0.987)
O (0.513, 0.987, 0.513)
O (0.513, 0.987, 0.987)
O (0.987, 0.513, 0.513)
O (0.987, 0.513, 0.987)
O (0.987, 0.987, 0.513)

Total moment in μB per cell: 0.0
E_tot in eV/atom: -6.92
V in Å³ per atom: 14.8
Formation energy (no corrections) in meV/atom: -2464

=====

[4]
Hf2NbPb: optimized geometry, PBE.

Cell lengths 3.253, 3.253, 29.513 Å; angles 90.00, 90.00, 120.00 degrees
Atoms (fractional coordinates):
Hf (0.000, 0.000, 0.000)
Hf (0.000, 0.000, 0.155)
Hf (0.333, 0.667, 0.667)
Hf (0.333, 0.667, 0.821)
Hf (0.667, 0.333, 0.333)
Hf (0.667, 0.333, 0.488)
Nb (0.000, 0.000, 0.744)
Nb (0.333, 0.667, 0.411)
Nb (0.667, 0.333, 0.077)
Pb (0.000, 0.000, 0.577)
Pb (0.333, 0.667, 0.244)
Pb (0.667, 0.333, 0.911)

Total moment in μB per cell: 0.0
E_tot in eV/atom: -8.27
ΔE_f in kJ/mol of formula units: 58
V in Å³ per atom: 22.5

=====

Q: Which of these has the lowest V?
A: KLaTbSbO6